Record 1
This record from the Open Quantum Materials Database describes a relaxed DyErAs3 crystal. The functional is PBE.

Cell and atoms, written as extended XYZ:
```
10
Lattice="1.157 7.265 -0.309 -5.654 -4.419 -1.647 -2.204 0.604 5.946" Properties=species:S:1:pos:R:3 pbc="T T T"
As -5.436 -2.118 1.197
As -4.602 -2.346 -1.052
As -2.100 5.796 5.042
As -3.557 2.468 3.549
As -1.266 5.568 2.793
As -3.145 0.982 0.441
Dy -1.735 3.400 0.718
Dy -4.967 0.050 3.272
Er -7.103 -3.615 2.852
Er 0.401 7.065 1.137
```

Output
* volume: 245 Å³/cell
* crystal system: orthorhombic
* magnetization: 0.0 μB/f.u.
* raw total energy: -5.410 eV per atom

---

Record 2
This record from the Open Quantum Materials Database describes a relaxed DyErAsI2 crystal. The functional is PBE.

Cell and atoms, written as extended XYZ:
```
5
Lattice="-2.945 -2.125 2.020 2.278 -1.875 -2.926 7.247 -2.910 7.505" Properties=species:S:1:pos:R:3 pbc="T T T"
Dy -0.183 -2.452 1.429
I 3.684 -4.004 5.434
I 2.910 -2.911 1.181
Er 6.762 -4.458 5.170
As 7.231 -2.904 7.490
```

Output
* volume: 162 Å³/cell
* crystal system: trigonal
* magnetization: 0.0 μB/f.u.
* raw total energy: -4.836 eV per atom

---

Record 3
This record from the Open Quantum Materials Database describes a relaxed DyEr2Lu3As2Os crystal. The functional is PBE.

Cell and atoms, written as extended XYZ:
```
9
Lattice="-2.641 -0.204 -3.180 2.432 -7.179 -1.560 -5.927 1.095 4.853" Properties=species:S:1:pos:R:3 pbc="T T T"
Lu -5.402 -4.444 2.079
Lu -2.178 -1.594 -0.782
Lu -3.379 -6.446 0.527
Dy -2.082 -3.624 1.962
Er 0.049 -6.729 0.391
Er -4.942 -1.788 4.220
As -1.665 -4.524 -1.020
As -4.465 -1.752 1.128
Os -0.015 -0.026 0.014
```

Output
* volume: 215 Å³/cell
* crystal system: orthorhombic
* magnetization: 0.0 μB/f.u.
* raw total energy: -6.105 eV per atom

---

Record 4
This record from the Open Quantum Materials Database describes a relaxed DyErNi2As2 crystal. The functional is PBE.

Cell and atoms, written as extended XYZ:
```
12
Lattice="-0.619 -2.079 3.433 3.545 1.882 -0.623 -5.485 12.515 6.590" Properties=species:S:1:pos:R:3 pbc="T T T"
As -1.307 3.977 4.575
As -2.662 11.555 6.519
As 0.102 0.762 2.882
As -1.253 8.340 4.825
Dy 0.000 0.000 0.000
Dy -2.743 6.257 3.295
Ni -3.978 10.071 7.785
Ni -2.712 7.182 6.263
Ni 1.419 2.245 1.616
Ni 0.152 5.135 3.137
Er -4.114 9.386 4.943
Er -1.371 3.129 1.648
```

Output
* volume: 217 Å³/cell
* crystal system: hexagonal
* magnetization: 0.0 μB/f.u.
* excess energy over the best structure of this formula in the dataset: 0 meV/atom

---

Record 5
This record from the Open Quantum Materials Database describes a relaxed DyErAsO crystal. The functional is PBE.

Cell and atoms, written as extended XYZ:
```
8
Lattice="4.113 0.000 0.000 0.000 7.635 0.000 0.000 0.000 5.809" Properties=species:S:1:pos:R:3 pbc="T T T"
O 2.056 2.495 2.222
O 2.056 5.139 5.127
Er 0.000 1.621 2.546
Er 0.000 6.014 5.450
As 0.000 6.455 2.488
As 0.000 1.179 5.393
Dy 2.056 4.694 2.933
Dy 2.056 2.940 0.028
```

Output
* volume: 182 Å³/cell
* crystal system: orthorhombic
* magnetization: 0.0 μB/f.u.
* excess energy over the best structure of this formula in the dataset: 15 meV/atom

---

Record 6
This record from the Open Quantum Materials Database describes a relaxed DyErAsO crystal. The functional is PBE.

Cell and atoms, written as extended XYZ:
```
8
Lattice="4.312 0.000 0.000 0.000 4.312 0.000 0.000 0.000 8.742" Properties=species:S:1:pos:R:3 pbc="T T T"
Er 1.078 3.234 4.371
Er 3.234 1.078 4.371
As 3.234 3.234 2.585
As 1.078 1.078 6.157
Dy 1.078 1.078 0.894
Dy 3.234 3.234 7.848
O 3.234 1.078 0.000
O 1.078 3.234 0.000
```

Output
* volume: 163 Å³/cell
* crystal system: tetragonal
* magnetization: 0.0 μB/f.u.
* excess energy over the best structure of this formula in the dataset: 74 meV/atom

---

Record 7
This record from the Open Quantum Materials Database describes a relaxed DyErAsO crystal. The functional is PBE.

Cell and atoms, written as extended XYZ:
```
8
Lattice="-0.351 0.988 4.177 4.117 -1.109 0.608 2.463 8.191 -1.731" Properties=species:S:1:pos:R:3 pbc="T T T"
As 2.689 5.779 -0.032
As 3.541 2.291 3.086
Dy 1.998 4.560 2.419
Dy 4.232 3.511 0.635
Er 5.048 7.303 2.026
Er 1.181 0.767 1.028
O 3.000 -0.585 1.500
O 0.766 0.464 3.285
```

Output
* volume: 162 Å³/cell
* crystal system: tetragonal
* magnetization: 0.0 μB/f.u.
* excess energy over the best structure of this formula in the dataset: 107 meV/atom

---

Record 8
This record from the Open Quantum Materials Database describes a relaxed DyErAsO crystal. The functional is PBE.

Cell and atoms, written as extended XYZ:
```
8
Lattice="-0.347 -2.916 3.171 4.289 0.062 0.526 -0.805 6.416 5.811" Properties=species:S:1:pos:R:3 pbc="T T T"
As -0.740 3.061 5.678
As 1.907 1.928 1.981
O 1.971 -1.427 1.849
O 0.000 0.000 0.000
Dy -0.255 -0.807 2.176
Dy 1.422 5.795 5.484
Er 1.569 1.781 4.754
Er -0.402 3.208 2.905
```

Output
* volume: 162 Å³/cell
* crystal system: tetragonal
* magnetization: 0.0 μB/f.u.
* excess energy over the best structure of this formula in the dataset: 74 meV/atom

---

Record 9
This record from the Open Quantum Materials Database describes a relaxed DyErAsO crystal. The functional is PBE.

Cell and atoms, written as extended XYZ:
```
8
Lattice="-2.184 2.744 2.212 3.035 -2.685 6.328 4.421 3.895 -0.468" Properties=species:S:1:pos:R:3 pbc="T T T"
Er 1.670 -0.963 6.731
Er 1.514 3.078 1.562
As 2.901 0.758 1.925
As 6.109 1.823 3.771
O 3.096 0.616 6.179
O 3.305 4.333 1.773
Dy 5.022 2.868 1.399
Dy 4.084 -0.205 4.286
```

Output
* volume: 184 Å³/cell
* crystal system: orthorhombic
* magnetization: 0.0 μB/f.u.
* excess energy over the best structure of this formula in the dataset: 0 meV/atom

---

Record 10
This record from the Open Quantum Materials Database describes a relaxed Dy3Er2ScAs2Os crystal. The functional is PBE.

Cell and atoms, written as extended XYZ:
```
9
Lattice="4.113 0.000 0.000 0.000 6.684 3.899 0.000 -6.684 3.899" Properties=species:S:1:pos:R:3 pbc="T T T"
As 2.056 -2.198 3.860
As 2.056 2.198 3.860
Os 0.000 0.000 0.213
Er 2.056 1.595 6.846
Er 2.056 -1.595 6.846
Dy 0.000 -4.005 5.458
Dy 0.000 0.000 4.529
Dy 0.000 4.005 5.458
Sc 2.056 0.000 1.919
```

Output
* volume: 214 Å³/cell
* crystal system: orthorhombic
* magnetization: 0.0 μB/f.u.
* raw total energy: -6.325 eV per atom

---

Record 11
This record from the Open Quantum Materials Database describes a relaxed DyEr2Sc3As2Os crystal. The functional is PBE.

Cell and atoms, written as extended XYZ:
```
9
Lattice="-2.972 0.803 -2.683 -3.555 -6.288 2.057 -1.450 6.464 3.540" Properties=species:S:1:pos:R:3 pbc="T T T"
Sc -5.295 0.535 2.918
Sc -2.328 -1.081 -0.852
Sc -1.831 1.925 -0.503
Os -4.985 0.175 5.575
Er -2.115 -3.731 1.227
Er -0.866 3.835 2.107
As -4.347 -1.650 1.214
As -3.641 2.629 1.712
Dy -2.042 0.071 2.283
```

Output
* volume: 199 Å³/cell
* crystal system: orthorhombic
* magnetization: 0.0 μB/f.u.
* raw total energy: -6.769 eV per atom

---

Record 12
This record from the Open Quantum Materials Database describes a relaxed Dy2ErSc3As2Os crystal. The functional is PBE.

Cell and atoms, written as extended XYZ:
```
9
Lattice="-3.720 1.306 -1.084 -3.095 -5.856 3.569 1.189 6.449 3.688" Properties=species:S:1:pos:R:3 pbc="T T T"
As -3.521 -1.089 3.059
As -2.102 2.987 3.099
Sc -3.319 1.107 5.010
Sc -1.405 5.710 3.990
Sc -4.672 -3.670 3.899
Er -0.774 0.241 2.946
Dy -0.644 2.977 5.796
Dy -2.388 -2.033 5.748
Os -0.007 0.002 0.026
```

Output
* volume: 201 Å³/cell
* crystal system: orthorhombic
* magnetization: 0.0 μB/f.u.
* raw total energy: -6.774 eV per atom